(1)
A geometry-optimized Tb3MgHg structure, computed with PBE.

The total magnetization is 0.00 Bohr magnetons per cell. As for the excess energy over the best structure of this formula in the dataset: 104 meV/atom. The value obtained for the formation energy is -0.099 eV/atom. For the density of states at the Fermi level, the calculation gives 23.56 states/eV per cell. For the total energy, the calculation gives -65.13 eV for the cell shown.

Lattice parameters (Å, degrees): 6.8179 6.8179 14.9287 84.62 84.62 56.83
Positions (direct):
Tb1 0.8662 0.5205 0.1021
Tb2 0.5205 0.8662 0.6021
Tb3 0.4795 0.1338 0.3979
Tb4 0.1338 0.4795 0.8979
Tb5 0.0449 0.8291 0.6123
Tb6 0.8291 0.0449 0.1123
Tb7 0.6371 0.0216 0.7954
Tb8 0.1709 0.9550 0.8877
Tb9 0.9550 0.1709 0.3877
Tb10 0.0216 0.6371 0.2954
Tb11 0.3629 0.9784 0.2046
Tb12 0.9784 0.3629 0.7046
Hg1 0.4308 0.5692 0.7500
Hg2 0.0000 0.5000 0.5000
Hg3 0.5000 0.0000 0.0000
Hg4 0.5692 0.4308 0.2500
Mg1 0.3312 0.5634 0.0829
Mg2 0.5634 0.3312 0.5829
Mg3 0.4366 0.6688 0.4171
Mg4 0.6688 0.4366 0.9171

=====

(2)
A geometry-optimized Pr7YAl4 structure, computed with PBE.

The total magnetization is 0.00 Bohr magnetons per cell. The value obtained for the formation energy is -0.065 eV/atom. For the density of states at the Fermi level, the calculation gives 12.99 states/eV per cell. For the total energy, the calculation gives -55.67 eV for the cell shown.

Lattice parameters (Å, degrees): 5.7081 9.4525 7.6507 77.90 68.10 72.43
Positions (direct):
Y1 0.0000 0.0000 0.0000
Pr1 0.5000 0.0000 0.0000
Pr2 0.2060 0.1195 0.4685
Pr3 0.9341 0.3861 0.7456
Pr4 0.0659 0.6139 0.2544
Pr5 0.2959 0.6461 0.7622
Pr6 0.7041 0.3539 0.2378
Pr7 0.7940 0.8805 0.5315
Al1 0.6740 0.6694 0.9825
Al2 0.3260 0.3306 0.0175
Al3 0.5517 0.2399 0.6568
Al4 0.4483 0.7601 0.3432

=====

(3)
A geometry-optimized Na2Pt structure, computed with PBE.

The total magnetization is 0.00 Bohr magnetons per cell. The value obtained for the formation energy is -0.040 eV/atom. For the density of states at the Fermi level, the calculation gives 3.59 states/eV per cell. For the total energy, the calculation gives -35.19 eV for the cell shown.

Lattice parameters (Å, degrees): 4.4539 2.8157 22.3570 90.00 90.00 90.00
Positions (direct):
Pt1 0.0000 0.7500 0.3469
Pt2 0.5000 0.7500 0.1531
Pt3 0.5000 0.2500 0.8469
Pt4 0.0000 0.2500 0.6531
Na1 0.0000 0.7500 0.7862
Na2 0.0000 0.7500 0.9181
Na3 0.5000 0.2500 0.4181
Na4 0.5000 0.7500 0.5819
Na5 0.0000 0.2500 0.0819
Na6 0.0000 0.2500 0.2138
Na7 0.5000 0.7500 0.7138
Na8 0.5000 0.2500 0.2862

=====

(4)
A geometry-optimized SrTb2Lu structure, computed with PBE.

The total magnetization is 0.01 Bohr magnetons per cell. The value obtained for the formation energy is 0.132 eV/atom. For the density of states at the Fermi level, the calculation gives 4.54 states/eV per cell. For the total energy, the calculation gives -14.94 eV for the cell shown.

Lattice parameters (Å, degrees): 4.0022 4.0022 9.1293 90.00 90.00 90.00
Positions (direct):
Tb1 0.0000 0.0000 0.2002
Tb2 0.0000 0.0000 0.7998
Sr1 0.5000 0.5000 0.5000
Lu1 0.5000 0.5000 0.0000

=====

(5)
A geometry-optimized NdDyTl structure, computed with PBE.

The total magnetization is 0.00 Bohr magnetons per cell. As for the excess energy over the best structure of this formula in the dataset: 1 meV/atom. The value obtained for the formation energy is -0.262 eV/atom. For the density of states at the Fermi level, the calculation gives 6.96 states/eV per cell. For the total energy, the calculation gives -25.04 eV for the cell shown.

Lattice parameters (Å, degrees): 5.5014 5.5014 6.7911 90.00 90.00 119.98
Positions (direct):
Nd1 0.0000 0.5000 0.0000
Nd2 0.0000 0.5000 0.5000
Dy1 0.6666 0.8334 0.7500
Dy2 0.3334 0.1666 0.2500
Tl1 0.6668 0.8332 0.2500
Tl2 0.3332 0.1668 0.7500

=====

(6)
A geometry-optimized MnWS2 structure, computed with PBE.

The total magnetization is 4.24 Bohr magnetons per cell. As for the excess energy over the best structure of this formula in the dataset: 193 meV/atom. For the density of states at the Fermi level, the calculation gives 3.80 states/eV per cell. The value obtained for the formation energy from raw total energies is 0.05 eV per atom. For the total energy, the calculation gives -30.17 eV for the cell shown.

Lattice parameters (Å, degrees): 4.2787 4.2787 4.2787 60.00 60.00 60.00
Positions (direct):
S1 0.7500 0.7500 0.7500
S2 0.2500 0.2500 0.2500
Mn1 0.0000 0.0000 0.0000
W1 0.5000 0.5000 0.5000

=====

(7)
A geometry-optimized CaAuBr2 structure, computed with PBE.

The total magnetization is 0.00 Bohr magnetons per cell. As for the excess energy over the best structure of this formula in the dataset: 6 meV/atom. For the density of states at the Fermi level, the calculation gives 0.85 states/eV per cell. The value obtained for the formation energy from raw total energies is -0.99 eV per atom. For the total energy, the calculation gives -12.58 eV for the cell shown.

Lattice parameters (Å, degrees): 4.4351 5.4802 5.4948 60.80 90.00 90.00
Positions (direct):
Br1 0.5000 0.2753 0.2761
Br2 0.0000 0.9690 0.9685
Ca1 0.0000 0.5159 0.5150
Au1 0.5000 0.7398 0.7404

=====

(8)
A geometry-optimized NaZr3Se structure, computed with PBE.

The total magnetization is 0.00 Bohr magnetons per cell. As for the excess energy over the best structure of this formula in the dataset: 0 meV/atom. For the density of states at the Fermi level, the calculation gives 5.14 states/eV per cell. The value obtained for the formation energy from raw total energies is 0.12 eV per atom. For the total energy, the calculation gives -29.87 eV for the cell shown.

Lattice parameters (Å, degrees): 5.0930 5.0930 5.0930 90.00 90.00 90.00
Positions (direct):
Zr1 0.5000 0.0000 0.0000
Zr2 0.0000 0.0000 0.5000
Zr3 0.0000 0.5000 0.0000
Se1 0.0000 0.0000 0.0000
Na1 0.5000 0.5000 0.5000

=====

(9)
A geometry-optimized Tb2Pm3Sm6Mg structure, computed with PBE.

The total magnetization is 0.00 Bohr magnetons per cell. The value obtained for the formation energy is 0.025 eV/atom. For the density of states at the Fermi level, the calculation gives 15.34 states/eV per cell. For the total energy, the calculation gives -53.12 eV for the cell shown.

Lattice parameters (Å, degrees): 6.2435 6.2435 11.8634 95.06 95.06 120.05
Positions (direct):
Tb1 0.6666 0.3334 0.0000
Tb2 0.3334 0.6666 0.0000
Sm1 0.2508 0.2508 0.7529
Sm2 0.7492 0.7492 0.2471
Sm3 0.0808 0.4126 0.2457
Sm4 0.9192 0.5874 0.7543
Sm5 0.4126 0.0808 0.2457
Sm6 0.5874 0.9192 0.7543
Pm1 0.5000 0.5000 0.5000
Pm2 0.1665 0.8335 0.5000
Pm3 0.8335 0.1665 0.5000
Mg1 0.0000 0.0000 0.0000

=====

(10)
A geometry-optimized Rb2NpTlF6 structure, computed with PBE.

The total magnetization is 8.01 Bohr magnetons per cell. For the density of states at the Fermi level, the calculation gives 6.60 states/eV per cell. The value obtained for the formation energy from raw total energies is -2.84 eV per atom. For the total energy, the calculation gives -113.69 eV for the cell shown.

Lattice parameters (Å, degrees): 6.7476 7.0003 9.5988 90.00 88.98 90.00
Positions (direct):
Rb1 0.4831 0.4506 0.2434
Rb2 0.0169 0.9506 0.2566
Rb3 0.9831 0.0494 0.7434
Rb4 0.5169 0.5494 0.7566
F1 0.6723 0.2646 0.5748
F2 0.3277 0.7354 0.4252
F3 0.1723 0.2354 0.0748
F4 0.7237 0.3205 0.9530
F5 0.3847 0.9385 0.7227
F6 0.8277 0.7646 0.9252
F7 0.1153 0.4385 0.7773
F8 0.8847 0.5615 0.2227
F9 0.2763 0.6795 0.0470
F10 0.2237 0.1795 0.4530
F11 0.7763 0.8205 0.5470
F12 0.6153 0.0615 0.2773
Np1 0.5000 0.0000 0.5000
Np2 0.0000 0.5000 0.0000
Tl1 0.5000 0.0000 0.0000
Tl2 0.0000 0.5000 0.5000

=====

(11)
A geometry-optimized TbNd3Dy6Th2 structure, computed with PBE.

The total magnetization is 0.00 Bohr magnetons per cell. The value obtained for the formation energy is 0.020 eV/atom. For the density of states at the Fermi level, the calculation gives 15.85 states/eV per cell. For the total energy, the calculation gives -61.15 eV for the cell shown.

Lattice parameters (Å, degrees): 6.2178 6.2178 11.8118 95.05 95.05 119.97
Positions (direct):
Dy1 0.0818 0.4193 0.2447
Dy2 0.4193 0.0818 0.2447
Dy3 0.2558 0.2558 0.7548
Dy4 0.5807 0.9182 0.7553
Dy5 0.7442 0.7442 0.2452
Dy6 0.9182 0.5807 0.7553
Tb1 0.0000 0.0000 0.0000
Th1 0.6665 0.3335 0.0000
Th2 0.3335 0.6665 0.0000
Nd1 0.5000 0.5000 0.5000
Nd2 0.1664 0.8336 0.5000
Nd3 0.8336 0.1664 0.5000

=====

(12)
A geometry-optimized ScTl3V structure, computed with PBE.

The total magnetization is 2.94 Bohr magnetons per cell. The value obtained for the formation energy is 0.973 eV/atom. For the density of states at the Fermi level, the calculation gives 9.97 states/eV per cell. For the total energy, the calculation gives -17.68 eV for the cell shown.

Lattice parameters (Å, degrees): 5.5286 5.5286 5.5286 90.00 90.00 90.00
Positions (direct):
V1 0.5000 0.5000 0.5000
Tl1 0.5000 0.0000 0.0000
Tl2 0.0000 0.5000 0.0000
Tl3 0.0000 0.0000 0.5000
Sc1 0.0000 0.0000 0.0000

=====

(13)
A geometry-optimized La2Dy3Hg2 structure, computed with PBE.

The total magnetization is 0.00 Bohr magnetons per cell. As for the excess energy over the best structure of this formula in the dataset: 15 meV/atom. The value obtained for the formation energy is -0.212 eV/atom. For the density of states at the Fermi level, the calculation gives 9.26 states/eV per cell. For the total energy, the calculation gives -25.75 eV for the cell shown.

Lattice parameters (Å, degrees): 4.8418 6.5176 8.3239 113.63 90.00 111.80
Positions (direct):
La1 0.1351 0.2702 0.7883
La2 0.8649 0.7298 0.2117
Dy1 0.3696 0.7391 0.5416
Dy2 0.5000 0.0000 0.0000
Dy3 0.6304 0.2609 0.4584
Hg1 0.8530 0.7061 0.7980
Hg2 0.1470 0.2939 0.2020

=====

(14)
A geometry-optimized ReTe2HI structure, computed with PBE.

The total magnetization is 0.78 Bohr magnetons per cell. As for the excess energy over the best structure of this formula in the dataset: 0 meV/atom. For the density of states at the Fermi level, the calculation gives 5.02 states/eV per cell. For the total energy, the calculation gives -18.80 eV for the cell shown.

Lattice parameters (Å, degrees): 5.1474 5.1474 5.9710 90.00 90.00 90.00
Positions (direct):
I1 0.0000 0.0000 0.5000
Te1 0.0000 0.5000 0.0000
Te2 0.5000 0.0000 0.0000
H1 0.5000 0.5000 0.5000
Re1 0.0000 0.0000 0.0000

=====

(15)
A geometry-optimized HfTiCl2 structure, computed with PBE.

The total magnetization is 0.01 Bohr magnetons per cell. As for the excess energy over the best structure of this formula in the dataset: 575 meV/atom. For the density of states at the Fermi level, the calculation gives 10.61 states/eV per cell. The value obtained for the formation energy from raw total energies is -0.11 eV per atom. For the total energy, the calculation gives -43.94 eV for the cell shown.

Lattice parameters (Å, degrees): 6.8903 6.8903 5.7557 53.23 53.23 90.00
Positions (direct):
Hf1 0.0000 0.0000 0.0000
Hf2 0.7500 0.2500 0.5000
Ti1 0.2500 0.7500 0.5000
Ti2 0.5000 0.5000 0.0000
Cl1 0.3750 0.3923 0.7500
Cl2 0.8750 0.8577 0.7500
Cl3 0.1423 0.6250 0.2500
Cl4 0.6077 0.1250 0.2500

=====

(16)
A geometry-optimized NaLiMgCd structure, computed with PBE.

The total magnetization is 0.00 Bohr magnetons per cell. The value obtained for the formation energy is -0.067 eV/atom. For the density of states at the Fermi level, the calculation gives 2.79 states/eV per cell. For the total energy, the calculation gives -6.01 eV for the cell shown.

Lattice parameters (Å, degrees): 5.0316 5.0316 5.0316 60.00 60.00 60.00
Positions (direct):
Na1 0.2500 0.2500 0.2500
Li1 0.0000 0.0000 0.0000
Cd1 0.7500 0.7500 0.7500
Mg1 0.5000 0.5000 0.5000

=====

(17)
A geometry-optimized AcGdSiHg structure, computed with PBE.

The total magnetization is 7.50 Bohr magnetons per cell. For the density of states at the Fermi level, the calculation gives 4.89 states/eV per cell. The value obtained for the formation energy from raw total energies is -0.41 eV per atom. For the total energy, the calculation gives -25.54 eV for the cell shown.

Lattice parameters (Å, degrees): 5.3921 5.3921 5.3921 60.00 60.00 60.00
Positions (direct):
Si1 0.7500 0.7500 0.7500
Hg1 0.2500 0.2500 0.2500
Ac1 0.0000 0.0000 0.0000
Gd1 0.5000 0.5000 0.5000

=====

(18)
A geometry-optimized GaFe2Au structure, computed with PBE.

The total magnetization is 10.46 Bohr magnetons per cell. The value obtained for the formation energy is 0.309 eV/atom. For the density of states at the Fermi level, the calculation gives 6.66 states/eV per cell. For the total energy, the calculation gives -43.99 eV for the cell shown.

Lattice parameters (Å, degrees): 3.6909 3.6909 9.5467 78.85 78.85 90.00
Positions (direct):
Au1 0.0000 0.0000 0.0000
Au2 0.7500 0.2500 0.5000
Fe1 0.1458 0.6250 0.2500
Fe2 0.8750 0.8542 0.7500
Fe3 0.6042 0.1250 0.2500
Fe4 0.3750 0.3958 0.7500
Ga1 0.5000 0.5000 0.0000
Ga2 0.2500 0.7500 0.5000

=====

(19)
A geometry-optimized NdZnPd6 structure, computed with PBE.

The total magnetization is 0.00 Bohr magnetons per cell. The value obtained for the formation energy is -0.320 eV/atom. For the density of states at the Fermi level, the calculation gives 6.73 states/eV per cell. For the total energy, the calculation gives -39.76 eV for the cell shown.

Lattice parameters (Å, degrees): 3.9877 3.9877 9.3650 90.00 90.00 90.00
Positions (direct):
Pd1 0.0000 0.5000 0.3316
Pd2 0.5000 0.5000 0.1378
Pd3 0.0000 0.5000 0.6684
Pd4 0.5000 0.0000 0.3316
Pd5 0.5000 0.0000 0.6684
Pd6 0.5000 0.5000 0.8622
Nd1 0.0000 0.0000 0.0000
Zn1 0.0000 0.0000 0.5000

=====

(20)
A geometry-optimized IrSeBr2 structure, computed with PBE.

The total magnetization is 0.00 Bohr magnetons per cell. As for the excess energy over the best structure of this formula in the dataset: 0 meV/atom. For the density of states at the Fermi level, the calculation gives 2.23 states/eV per cell. The value obtained for the formation energy from raw total energies is -0.06 eV per atom. For the total energy, the calculation gives -15.95 eV for the cell shown.

Lattice parameters (Å, degrees): 3.7801 3.7801 7.8742 85.92 85.92 59.43
Positions (direct):
Se1 0.1689 0.1689 0.3289
Br1 0.8066 0.8066 0.6691
Br2 0.0319 0.0319 0.0227
Ir1 0.4927 0.4927 0.4793